{"formula": "Ac4PrNd", "functional": "GGA-PBE", "state": "optimized geometry", "formation_energy_kj_per_mol_atoms": 31, "space_group": "F-43m", "n_ef_per_ev_cell": 8.88, "lattice_angstrom": [[7.193, 0.000, 0.000], [3.597, 6.229, 0.000], [3.597, 2.076, 5.873]], "species": ["Ac", "Ac", "Ac", "Ac", "Nd", "Pr"], "frac_coords": [[0.625, 0.625, 0.125], [0.625, 0.625, 0.625], [0.125, 0.625, 0.625], [0.625, 0.125, 0.625], [0.250, 0.250, 0.250], [0.000, 0.000, 0.000]]}

***

{"formula": "Ac3PrNd2", "functional": "GGA-PBE", "state": "optimized geometry", "formation_energy_kj_per_mol_atoms": 9, "space_group": "C2/c", "n_ef_per_ev_cell": 16.80, "lattice_angstrom": [[7.129, 0.258, 1.197], [-1.864, 9.177, 1.494], [-0.382, -0.258, 7.219]], "species": ["Ac", "Ac", "Ac", "Ac", "Ac", "Ac", "Nd", "Nd", "Nd", "Nd", "Pr", "Pr"], "frac_coords": [[0.867, 0.022, 0.296], [0.557, 0.250, 0.557], [0.133, 0.978, 0.704], [0.704, 0.522, 0.133], [0.296, 0.478, 0.867], [0.443, 0.750, 0.443], [0.384, 0.119, 0.119], [0.881, 0.619, 0.616], [0.119, 0.381, 0.384], [0.616, 0.881, 0.881], [0.879, 0.250, 0.879], [0.121, 0.750, 0.121]]}

***

{"formula": "Ac2Pr3Nd5", "functional": "GGA-PBE", "state": "optimized geometry", "formation_energy_kj_per_mol_atoms": 18, "space_group": "C2/c", "n_ef_per_ev_cell": 32.27, "lattice_angstrom": [[9.688, 2.461, -4.806], [0.935, 9.614, -4.746], [-2.958, -3.209, 10.969]], "species": ["Nd", "Nd", "Nd", "Nd", "Nd", "Nd", "Nd", "Nd", "Nd", "Nd", "Pr", "Pr", "Pr", "Pr", "Pr", "Pr", "Ac", "Ac", "Ac", "Ac"], "frac_coords": [[0.851, 0.604, 0.756], [0.480, 0.730, 0.459], [0.149, 0.396, 0.244], [0.997, 0.247, 0.493], [0.262, 0.512, 0.023], [0.520, 0.270, 0.541], [0.405, 0.152, 0.756], [0.003, 0.753, 0.507], [0.595, 0.848, 0.244], [0.738, 0.488, 0.977], [0.275, 0.534, 0.748], [0.028, 0.786, 0.252], [0.232, 0.982, 0.965], [0.725, 0.466, 0.252], [0.768, 0.018, 0.035], [0.972, 0.214, 0.748], [0.211, 0.986, 0.252], [0.541, 0.267, 0.252], [0.789, 0.014, 0.748], [0.459, 0.733, 0.748]]}

***

{"formula": "Ac2PrNd7", "functional": "GGA-PBE", "state": "optimized geometry", "formation_energy_kj_per_mol_atoms": 14, "space_group": "Cmmm", "n_ef_per_ev_cell": 17.39, "lattice_angstrom": [[3.626, 0.000, 0.000], [0.000, 14.684, -4.981], [0.000, -11.070, 10.858]], "species": ["Nd", "Nd", "Nd", "Nd", "Nd", "Nd", "Nd", "Pr", "Ac", "Ac"], "frac_coords": [[0.500, 0.658, 0.852], [0.500, 0.342, 0.148], [0.500, 0.852, 0.658], [0.000, 0.184, 0.816], [0.500, 0.148, 0.342], [0.500, 0.500, 0.500], [0.000, 0.816, 0.184], [0.000, 0.000, 0.000], [0.500, 0.706, 0.294], [0.500, 0.294, 0.706]]}

***

{"formula": "Ac6Pr5Nd", "functional": "GGA-PBE", "state": "optimized geometry", "formation_energy_kj_per_mol_atoms": 2, "space_group": "Immm", "n_ef_per_ev_cell": 19.71, "lattice_angstrom": [[5.291, 0.023, -1.545], [-1.464, 9.368, -4.878], [0.093, -0.771, 10.146]], "species": ["Pr", "Pr", "Pr", "Pr", "Pr", "Ac", "Ac", "Ac", "Ac", "Ac", "Ac", "Nd"], "frac_coords": [[0.000, 0.500, 0.000], [0.334, 0.834, 0.667], [0.667, 0.667, 0.333], [0.666, 0.166, 0.333], [0.333, 0.333, 0.667], [0.834, 0.083, 0.667], [0.834, 0.584, 0.667], [0.166, 0.416, 0.333], [0.500, 0.750, 0.000], [0.166, 0.917, 0.333], [0.500, 0.250, 0.000], [0.000, 0.000, 0.000]]}

***

{"formula": "AcPr7Nd2", "functional": "GGA-PBE", "state": "optimized geometry", "formation_energy_kj_per_mol_atoms": 56, "space_group": "Cmmm", "n_ef_per_ev_cell": 14.89, "lattice_angstrom": [[5.791, 0.000, 0.000], [0.000, 9.415, -0.477], [0.000, -4.673, 8.188]], "species": ["Nd", "Nd", "Pr", "Pr", "Pr", "Pr", "Pr", "Pr", "Pr", "Ac"], "frac_coords": [[0.500, 0.299, 0.701], [0.500, 0.701, 0.299], [0.500, 0.936, 0.701], [0.500, 0.299, 0.064], [0.500, 0.500, 0.500], [0.500, 0.701, 0.936], [0.000, 0.764, 0.236], [0.000, 0.236, 0.764], [0.500, 0.064, 0.299], [0.000, 0.000, 0.000]]}

***

{"formula": "Ac5PrNd4", "functional": "GGA-PBE", "state": "optimized geometry", "formation_energy_kj_per_mol_atoms": 2, "space_group": "C2/m", "n_ef_per_ev_cell": 16.18, "lattice_angstrom": [[5.365, 0.000, 1.226], [1.817, 10.212, 4.404], [0.736, 4.343, 9.135]], "species": ["Ac", "Ac", "Ac", "Ac", "Ac", "Nd", "Nd", "Nd", "Nd", "Pr"], "frac_coords": [[0.000, 0.500, 0.500], [0.400, 0.301, 0.900], [0.800, 0.100, 0.300], [0.600, 0.699, 0.100], [0.200, 0.900, 0.700], [0.200, 0.400, 0.200], [0.600, 0.200, 0.600], [0.800, 0.600, 0.800], [0.400, 0.800, 0.400], [0.000, 0.000, 0.000]]}

***

{"formula": "AcPr6Nd5", "functional": "GGA-PBE", "state": "optimized geometry", "formation_energy_kj_per_mol_atoms": 2, "space_group": "C2/m", "n_ef_per_ev_cell": 20.17, "lattice_angstrom": [[-3.696, -7.768, 8.860], [-2.813, -4.567, -3.594], [3.466, -5.006, -2.151]], "species": ["Nd", "Nd", "Nd", "Nd", "Nd", "Pr", "Pr", "Pr", "Pr", "Pr", "Pr", "Ac"], "frac_coords": [[0.000, 0.334, 0.333], [0.500, 0.167, 0.666], [0.500, 0.833, 0.334], [0.500, 0.500, 0.000], [0.000, 0.666, 0.667], [0.253, 0.580, 0.336], [0.747, 0.420, 0.664], [0.253, 0.251, 0.000], [0.747, 0.084, 0.336], [0.253, 0.916, 0.664], [0.747, 0.749, 0.000], [0.000, 0.000, 0.000]]}